Below is crystalline SrCe2Os at its relaxed geometry, with properties calculated at the PBE level.

The structure in POSCAR format:
```
SrCe2Os
1.0
4.132 0.000 0.000
2.066 3.579 0.000
2.066 1.193 9.572
Sr Os Ce
1 1 2
direct
0.500 0.500 0.500
0.000 0.000 0.000
0.284 0.284 0.149
0.716 0.716 0.851
```

Results
energy of formation: 0.0017 eV per atom
D(E_F): 11.8 states/eV/cell
calculated total energy: -6.193 eV per atom
distance to the lowest polymorph of the same formula: 0 kJ/mol of formula units